The following is a DFT calculation (PBE) of crystalline ScSi2Mo at its relaxed geometry.

a b c (Å): 8.5685 8.5685 8.5685
angles (deg): 20.41 20.41 20.41
Sites, in units of the cell vectors:
Mo1 0.5083 0.5083 0.5083
Sc1 0.7492 0.7492 0.7492
Si1 0.9920 0.9920 0.9920
Si2 0.2505 0.2505 0.2505

Results
Calculated density (Mg/m³): 4.9
Distance to the lowest polymorph of the same formula (meV/atom): 691
ΔE_f (raw) (kJ/mol of formula units): 59
Total magnetization (μB per formula unit): 0.71